(1)
This record from the Alexandria database describes an optimized crystal structure of Pr4SmBi2. The functional is GGA-PBE.

a = 5.539 Å, b = 5.539 Å, c = 9.532 Å
α = 106.89°, β = 106.89°, γ = 90.00°
Fractional positions:
Pr (0.818, 0.818, 0.636)
Pr (0.182, 0.182, 0.364)
Pr (0.000, 0.500, 0.000)
Pr (0.500, 0.000, 0.000)
Sm (0.000, 0.000, 0.000)
Bi (0.634, 0.634, 0.269)
Bi (0.366, 0.366, 0.731)

Calculated values
Its crystal system is tetragonal.


(2)
This record from the Alexandria database describes an optimized crystal structure of La4Tb2NdEr. The functional is GGA-PBE.

a = 6.007 Å, b = 6.014 Å, c = 9.784 Å
α = 52.08°, β = 90.04°, γ = 90.06°
Fractional positions:
La (0.000, 0.760, 0.741)
La (0.000, 0.240, 0.259)
La (0.500, 0.742, 0.258)
La (0.500, 0.258, 0.742)
Tb (0.000, 0.000, 0.000)
Tb (0.500, 0.000, 0.500)
Nd (0.500, 0.500, 0.000)
Er (0.000, 0.500, 0.500)

Calculated values
Its crystal system is triclinic.


(3)
This record from the Alexandria database describes an optimized crystal structure of CaLaAl. The functional is GGA-PBE.

a = 4.440 Å, b = 6.234 Å, c = 7.334 Å
α = 72.81°, β = 89.99°, γ = 69.11°
Fractional positions:
Ca (0.084, 0.644, 0.088)
Ca (0.378, 0.056, 0.234)
Al (0.735, 0.342, 0.397)
Al (0.728, 0.358, 0.925)
La (0.097, 0.619, 0.598)
La (0.366, 0.081, 0.724)

Calculated values
Its crystal system is monoclinic. Its polymorph energy (0 for the lowest one) is 0.395 eV per formula unit.


(4)
This record from the Alexandria database describes an optimized crystal structure of VTe2PdN. The functional is GGA-PBE.

a = 5.317 Å, b = 5.317 Å, c = 3.575 Å
α = 90.00°, β = 90.00°, γ = 90.00°
Fractional positions:
N (0.000, 0.000, 0.500)
Te (0.000, 0.500, 0.000)
Te (0.500, 0.000, 0.000)
Pd (0.500, 0.500, 0.500)
V (0.000, 0.000, 0.000)

Calculated values
Its crystal system is tetragonal. The energy relative to the elements, uncorrected is 0.15 eV per atom. Its polymorph energy (0 for the lowest one) is 0.000 eV per formula unit.


(5)
This record from the Alexandria database describes an optimized crystal structure of Sc3Ga7Pd2. The functional is GGA-PBE.

a = 3.961 Å, b = 4.094 Å, c = 13.493 Å
α = 98.68°, β = 90.00°, γ = 90.00°
Fractional positions:
Sc (0.500, 0.500, 0.000)
Sc (0.000, 0.182, 0.365)
Sc (0.000, 0.818, 0.635)
Ga (0.500, 0.725, 0.450)
Ga (0.500, 0.275, 0.550)
Ga (0.000, 0.576, 0.154)
Ga (0.000, 0.000, 0.000)
Ga (0.000, 0.424, 0.846)
Ga (0.500, 0.920, 0.841)
Ga (0.500, 0.080, 0.159)
Pd (0.500, 0.636, 0.268)
Pd (0.500, 0.364, 0.732)

Calculated values
Its crystal system is monoclinic.


(6)
This record from the Alexandria database describes an optimized crystal structure of Rb4LiU3Te8. The functional is GGA-PBE.

a = 9.130 Å, b = 9.986 Å, c = 9.129 Å
α = 117.20°, β = 120.00°, γ = 90.00°
Fractional positions:
Rb (0.500, 0.000, 0.000)
Rb (0.500, 0.000, 0.500)
Rb (0.000, 0.000, 0.000)
Rb (0.000, 0.000, 0.500)
Li (0.000, 0.500, 0.000)
U (0.500, 0.500, 0.000)
U (0.500, 0.500, 0.500)
U (0.000, 0.500, 0.500)
Te (0.234, 0.695, 0.960)
Te (0.234, 0.695, 0.469)
Te (0.266, 0.299, 0.533)
Te (0.726, 0.695, 0.960)
Te (0.274, 0.305, 0.040)
Te (0.734, 0.701, 0.467)
Te (0.766, 0.305, 0.531)
Te (0.766, 0.305, 0.040)

Calculated values
Its crystal system is trigonal. The energy relative to the elements, uncorrected is -0.88 eV per atom.


no.,VASP energy (eV/cell)
1,-30.58
2,-37.62
3,-22.24
4,-28.15
5,-57.52
6,-78.93